Here is crystalline NbIBr at its relaxed geometry from Alexandria via LeMat-Bulk. Energies are from PBE-GGA.

Total DFT energy (no corrections)   -56.22 eV for the cell shown
Offset from the most stable computed form   280 meV/atom
Total moment   1.00 μB per formula unit
ΔE_f (raw)   -0.254 eV/atom

a = 6.7534 Å, b = 6.4829 Å, c = 9.7958 Å
α = 90.00°, β = 126.77°, γ = 90.00°
With the nearest neighbours (Å) after each atom.
Space group P2_1/c (No. 14)
Unique sites:
Nb: 0.0871 0.1804 0.0872 x4  1 Nb 2.71, 3 Br 2.73-2.97, 2 I 2.78-2.80
I: 0.4215 0.6163 0.6308 x4  3 Nb 2.78-3.07
Br: 0.0883 0.0720 0.3622 x4  3 Nb 2.73-2.97



Here is crystalline Cs2BeTlS at its relaxed geometry from Alexandria via LeMat-Bulk. Energies are from PBE-GGA.

Total DFT energy (no corrections)   -9.53 eV for the cell shown
Total moment   0.00 μB per formula unit
ΔE_f (raw)   0.480 eV/atom

a = 7.2637 Å, b = 7.2637 Å, c = 5.3765 Å
α = 90.00°, β = 90.00°, γ = 90.00°
With the nearest neighbours (Å) after each atom.
Space group P4/mmm (No. 123)
Unique sites:
Cs: 0.0000 0.5000 0.0000 x2  2 Tl 3.63
Be: 0.0000 0.0000 0.5000 x1  8 Cs 4.52
Tl: 0.5000 0.5000 0.0000 x1  2 S 2.69
S: 0.5000 0.5000 0.5000 x1  2 Tl 2.69



Here is crystalline CsLiOs2 at its relaxed geometry from Alexandria via LeMat-Bulk. Energies are from PBE-GGA.

Total DFT energy (no corrections)   -66.04 eV for the cell shown
Calculated formation energy   2.179 eV/atom
Offset from the most stable computed form   877 meV/atom
Total moment   0.00 μB per formula unit

a = 6.5355 Å, b = 6.5355 Å, c = 6.5355 Å
α = 90.00°, β = 90.00°, γ = 90.00°
With the nearest neighbours (Å) after each atom.
Space group Fm-3m (No. 225)
Unique sites:
Cs: 0.0000 0.0000 0.0000 x4  8 Os 2.83
Li: 0.0000 0.0000 0.5000 x4  8 Os 2.83
Os: 0.2500 0.2500 0.2500 x8  4 Li 2.83, 4 Cs 2.83



Here is crystalline Sm2Tm8Al at its relaxed geometry from Alexandria via LeMat-Bulk. Energies are from PBE-GGA.

Total DFT energy (no corrections)   -98.71 eV for the cell shown
Calculated formation energy   -0.037 eV/atom
Total moment   0.00 μB per formula unit

a = 19.0293 Å, b = 5.4111 Å, c = 6.3530 Å
α = 90.00°, β = 94.32°, γ = 90.00°
With the nearest neighbours (Å) after each atom.
Space group C2/m (No. 12)
Unique sites:
Sm: 0.2427 0.0000 0.3319 x4  8 Tm 3.38-3.62, 2 Sm 3.45
Tm: 0.0427 0.0000 0.2558 x4  2 Al 3.23, 6 Tm 3.52-3.61
Tm: 0.0773 0.5000 0.6031 x4  1 Al 3.01, 3 Tm 3.13-3.30
Tm: 0.1527 0.0000 0.8138 x4  6 Tm 3.30-3.63, 4 Sm 3.52-3.62
Tm: 0.1567 0.5000 0.1234 x4  1 Al 3.03, 2 Tm 3.34, 2 Sm 3.38
Al: 0.0000 0.5000 0.0000 x2  8 Tm 3.01-3.23